The following is a DFT calculation (PBE-GGA) of Na2TaSiN after structural relaxation.

Calculated values
The crystal system is tetragonal. The total magnetization comes out at 0.763 μB per atom. The uncorrected formation energy is 1.993 eV per atom. The density of states at the Fermi level comes out at 0.518 states/eV/atom. The density comes out at 2.3 Mg/m³.

Cell: 6.356 4.833 6.356 Å, 90.00 90.00 90.00°
Site moments in Bohr magnetons follow the coordinates.
Element x y z (fractional)
Na 0.500 0.000 0.000  0.01
Si 0.000 0.500 0.000  -0.01
Ta 0.000 0.000 0.000  0.83
N 0.500 0.500 0.500  1.70
Na 0.000 0.000 0.500  0.01

***

The following is a DFT calculation (PBE-GGA) of NaSiTe2N after structural relaxation.

Calculated values
The crystal system is tetragonal. The total magnetization comes out at 0.000 μB per atom. The uncorrected formation energy is -0.113 eV per atom. The density of states at the Fermi level comes out at 0.569 states/eV/atom. The offset from the most stable computed form comes out at 0 meV/atom. The density comes out at 4.7 Mg/m³.

Cell: 5.852 5.852 3.279 Å, 90.00 90.00 90.00°
Element x y z (fractional)
N 0.000 0.000 0.500
Si 0.000 0.000 0.000
Na 0.500 0.500 0.500
Te 0.000 0.500 0.000
Te 0.500 0.000 0.000

***

The following is a DFT calculation (PBE-GGA) of NaSiTe2N after structural relaxation.

Calculated values
The crystal system is tetragonal. The total magnetization comes out at 0.527 μB per atom. The uncorrected formation energy is 1.398 eV per atom. The density of states at the Fermi level comes out at 0.991 states/eV/atom. The offset from the most stable computed form comes out at 1511 meV/atom. The density comes out at 4.0 Mg/m³.

Cell: 5.583 5.583 4.272 Å, 90.00 90.00 90.00°
Site moments in Bohr magnetons follow the coordinates.
Element x y z (fractional)
N 0.000 0.000 0.500  1.59
Te 0.500 0.000 0.000  0.07
Si 0.500 0.500 0.500  0.01
Te 0.000 0.500 0.000  0.07
Na 0.000 0.000 0.000  0.02

***

The following is a DFT calculation (PBE-GGA) of Na2USiN4 after structural relaxation.

Calculated values
The crystal system is tetragonal. The total magnetization comes out at 0.000 μB per atom. The uncorrected formation energy is -0.678 eV per atom. The density comes out at 5.3 Mg/m³.

Cell: 5.354 5.354 5.354 Å, 97.56 115.73 115.73°
Element x y z (fractional)
N 0.368 0.840 0.794
N 0.046 0.206 0.574
N 0.954 0.528 0.160
U 0.500 0.250 0.750
Na 0.000 0.000 0.000
N 0.632 0.426 0.472
Si 0.000 0.500 0.500
Na 0.500 0.750 0.250